# Rb2AgICl2 (PBE, relaxed)
# **V**: 42.0 A^3/atom
# **Raw total energy**: -2.9079 eV/atom
data_Rb2AgICl2
_chemical_formula_sum 'Rb4 Ag2 I2 Cl4'
_cell_length_a 6.315
_cell_length_b 6.315
_cell_length_c 12.631
_cell_angle_alpha 90.00
_cell_angle_beta 90.00
_cell_angle_gamma 90.00
_symmetry_space_group_name_H-M 'I 4/m m m'
_symmetry_Int_Tables_number 139
_symmetry_space_group_name_Hall '-I 4 2'
loop_
_atom_site_label
_atom_site_type_symbol
_atom_site_fract_x
_atom_site_fract_y
_atom_site_fract_z
_atom_site_occupancy
Rb1 Rb 0.000 0.500 0.250 1
Ag1 Ag 0.000 0.000 0.000 1
I1 I 0.000 0.000 0.500 1
Cl1 Cl 0.000 0.000 0.187 1

# Rb3Ag2I4Cl2 (PBE, relaxed)
# **V**: 41.3 A^3/atom
# **Raw total energy**: -2.6912 eV/atom
data_Rb3Ag2I4Cl2
_chemical_formula_sum 'Rb6 Ag4 I8 Cl4'
_cell_length_a 5.618
_cell_length_b 5.618
_cell_length_c 28.809
_cell_angle_alpha 90.00
_cell_angle_beta 90.00
_cell_angle_gamma 90.00
_symmetry_space_group_name_H-M 'I 4/m m m'
_symmetry_Int_Tables_number 139
_symmetry_space_group_name_Hall '-I 4 2'
loop_
_atom_site_label
_atom_site_type_symbol
_atom_site_fract_x
_atom_site_fract_y
_atom_site_fract_z
_atom_site_occupancy
Rb1 Rb 0.000 0.000 0.000 1
Rb2 Rb 0.000 0.000 0.187 1
Ag1 Ag 0.000 0.000 0.389 1
I1 I 0.000 0.500 0.088 1
Cl1 Cl 0.000 0.000 0.298 1

# Rb2AgICl6 (PBE, relaxed)
# **V**: 34.4 A^3/atom
# **Raw total energy**: -2.6804 eV/atom
data_Rb2AgICl6
_chemical_formula_sum 'Rb4 Ag2 I2 Cl12'
_cell_length_a 7.890
_cell_length_b 7.890
_cell_length_c 11.050
_cell_angle_alpha 90.00
_cell_angle_beta 90.00
_cell_angle_gamma 90.00
_symmetry_space_group_name_H-M 'I 4/m m m'
_symmetry_Int_Tables_number 139
_symmetry_space_group_name_Hall '-I 4 2'
loop_
_atom_site_label
_atom_site_type_symbol
_atom_site_fract_x
_atom_site_fract_y
_atom_site_fract_z
_atom_site_occupancy
Rb1 Rb 0.000 0.500 0.250 1
Ag1 Ag 0.000 0.000 0.000 1
I1 I 0.000 0.000 0.500 1
Cl1 Cl 0.000 0.000 0.271 1
Cl2 Cl 0.215 0.215 0.000 1

- Look up the raw total energy of the third one.
  -2.6804 eV/atom

Repeat the first record exactly.
# Rb2AgICl2 (PBE, relaxed)
# **V**: 42.0 A^3/atom
# **Raw total energy**: -2.9079 eV/atom
data_Rb2AgICl2
_chemical_formula_sum 'Rb4 Ag2 I2 Cl4'
_cell_length_a 6.315
_cell_length_b 6.315
_cell_length_c 12.631
_cell_angle_alpha 90.00
_cell_angle_beta 90.00
_cell_angle_gamma 90.00
_symmetry_space_group_name_H-M 'I 4/m m m'
_symmetry_Int_Tables_number 139
_symmetry_space_group_name_Hall '-I 4 2'
loop_
_atom_site_label
_atom_site_type_symbol
_atom_site_fract_x
_atom_site_fract_y
_atom_site_fract_z
_atom_site_occupancy
Rb1 Rb 0.000 0.500 0.250 1
Ag1 Ag 0.000 0.000 0.000 1
I1 I 0.000 0.000 0.500 1
Cl1 Cl 0.000 0.000 0.187 1